Computed, not measured: an optimized crystal structure of VTc at the PBE level of DFT.

- E (eV/atom) = -10.045
- crystal system = orthorhombic

a b c (Å): 5.056 5.056 5.056
angles (deg): 145.13 130.57 61.91
Positions (direct):
V  0.376  0.126  0.250
V  0.624  0.874  0.750
Tc  0.128  0.378  0.750
Tc  0.872  0.622  0.250


Computed, not measured: an optimized crystal structure of VTc at the PBE level of DFT.

- E (eV/atom) = -8.049
- crystal system = cubic

a b c (Å): 6.327 6.327 6.327
angles (deg): 109.47 109.47 109.47
Positions (direct):
V  0.000  0.000  0.594
V  0.000  0.594  0.000
V  0.406  0.406  0.406
V  0.594  0.000  0.000
Tc  0.000  0.000  0.269
Tc  0.000  0.269  0.000
Tc  0.269  0.000  0.000
Tc  0.731  0.731  0.731


Computed, not measured: an optimized crystal structure of V3Tc at the PBE level of DFT.

- E (eV/atom) = -9.677
- crystal system = tetragonal

a b c (Å): 4.243 4.243 3.019
angles (deg): 90.00 90.00 90.00
Positions (direct):
V  0.000  0.000  0.000
V  0.000  0.500  0.500
V  0.500  0.000  0.500
Tc  0.500  0.500  0.000


Computed, not measured: an optimized crystal structure of V4Tc at the PBE level of DFT.

- offset from the most stable computed form (meV/atom) = 1423
- E (eV/atom) = -8.167
- crystal system = cubic

a b c (Å): 4.504 4.504 4.504
angles (deg): 90.00 90.00 90.00
Positions (direct):
V  0.000  0.000  0.000
V  0.000  0.500  0.500
V  0.500  0.000  0.500
V  0.500  0.500  0.000
Tc  0.500  0.500  0.500